Entry from Alexandria: crystalline VSnAu at its relaxed geometry (GGA-PBE).

The value obtained for the formation energy is 212 meV per atom. The calculation puts the total moment at 1.06 μB per atom. The density of states at the Fermi level comes out at 8.8 states/eV per cell.

It has space group I4mm (No. 107), with a = 3.6799 Å, b = 3.6799 Å, c = 8.6808 Å, α = 90.00°, β = 90.00° and γ = 90.00°. The inequivalent atoms are V at (0.0000, 0.0000, 0.0000), Sn at (0.0000, 0.0000, 0.3290) and Au at (0.0000, 0.0000, 0.6582).

---

Entry from Alexandria: crystalline VSn4Au2 at its relaxed geometry (GGA-PBE).

The value obtained for the formation energy is 194 meV per atom. The calculation puts the total moment at 0.08 μB per atom. The density of states at the Fermi level comes out at 6.9 states/eV per cell.

It has space group I4/mmm (No. 139), with a = 5.3482 Å, b = 5.3482 Å, c = 13.1179 Å, α = 90.00°, β = 90.00° and γ = 90.00°. The inequivalent atoms are V at (0.0000, 0.0000, 0.0000), Sn at (0.0000, 0.0000, 0.1921), Sn at (0.0000, 0.5000, 0.0000) and Au at (0.0000, 0.0000, 0.3928).

---

Entry from Alexandria: crystalline V2Sn2Au at its relaxed geometry (GGA-PBE).

The value obtained for the formation energy is 92 meV per atom. The calculation puts the total moment at 0.00 μB per atom. The density of states at the Fermi level comes out at 6.8 states/eV per cell. The excess energy over the best structure of this formula in the dataset is 0.000 eV per atom.

It has space group P4/mbm (No. 127), with a = 7.1802 Å, b = 7.1802 Å, c = 3.6186 Å, α = 90.00°, β = 90.00° and γ = 90.00°. The inequivalent atoms are V at (0.1135, 0.3865, 0.0000), Sn at (0.1815, 0.6815, 0.5000) and Au at (0.0000, 0.0000, 0.0000).

---

Entry from Alexandria: crystalline V2SnAu2 at its relaxed geometry (GGA-PBE).

The value obtained for the formation energy is 176 meV per atom. The calculation puts the total moment at 0.00 μB per atom. The density of states at the Fermi level comes out at 9.4 states/eV per cell.

It has space group P4/mbm (No. 127), with a = 6.9602 Å, b = 6.9602 Å, c = 3.7421 Å, α = 90.00°, β = 90.00° and γ = 90.00°. The inequivalent atoms are V at (0.1019, 0.3981, 0.0000), Sn at (0.0000, 0.0000, 0.0000) and Au at (0.1837, 0.6837, 0.5000).